Here is KLi2CrF6 after structural relaxation from the Alexandria database. Energies are from PBE with a Hubbard U.

It has space group C2/c (No. 15), with a = 8.512 Å, b = 10.235 Å, c = 6.091 Å, α = 90.00°, β = 91.79° and γ = 90.00°. The asymmetric unit holds K at (0.000, 0.086, 0.250), Li at (0.149, 0.399, 0.332), Cr at (0.000, 0.298, 0.750), F at (0.059, 0.310, 0.060), F at (0.141, 0.156, 0.672) and F at (0.156, 0.432, 0.681).

The total energy comes out at -5.23 eV/atom.